Material: Pr4DyGa2
Method: DFT, PBE
State: relaxed

Unit cell a=5.1041 b=5.1041 c=10.6313 alpha=76.11 beta=76.11 gamma=60.00
Atoms (fractional coordinates):
Pr: 0.2982 0.2982 0.1053
Pr: 0.1051 0.1051 0.6847
Pr: 0.8949 0.8949 0.3153
Pr: 0.7018 0.7018 0.8947
Dy: 0.5000 0.5000 0.5000
Ga: 0.5978 0.5978 0.2065
Ga: 0.4022 0.4022 0.7935

Results
* formation energy from the elements: -90 meV/atom
* SG: R-3m
* total magnetization: 0.00 μB/f.u.